NdTlCr2O8: relaxed, PBE with a Hubbard U.

The structure belongs to space group I-4m2 (No. 119); the cell edges are 7.6213, 7.6213 and 6.5622 Å and the angles 90.00°, 90.00° and 90.00°. The distinct sites, in fractional coordinates, are Nd at (0.0000, 0.0000, 0.0000), Tl at (0.0000, 0.5000, 0.7500), Cr at (0.0000, 0.0000, 0.5000), Cr at (0.0000, 0.5000, 0.2500), O at (0.0000, 0.1670, 0.6651) and O at (0.0000, 0.3203, 0.1012).

As for the total magnetization: 0.000 μB per atom. The crystal system is tetragonal. Its total energy is -6.812 eV/atom.